This record from Alexandria describes a relaxed structure of Ni2AsN. The functional is PBE-GGA.

Results
For the formation energy without anion corrections, the calculation gives 10 kJ per mole of atoms. The raw total energy comes out at -6.029 eV/atom. The calculation puts the density of states at the Fermi level at 0.288 states/eV/atom.

The structure in POSCAR format:
```
Ni2AsN
1.0
4.504 0.000 0.000
0.000 4.504 0.000
2.252 2.252 5.253
As Ni N
2 4 2
direct
0.750 0.250 0.500
0.000 0.000 0.000
0.375 0.488 0.750
0.512 0.125 0.250
0.238 0.625 0.250
0.875 0.762 0.750
0.500 0.500 0.000
0.250 0.750 0.500
```